(1)
The following is a meta-GGA SCAN calculation of a crystal of Ba2LiAg2 relaxed with PBEsol, from Alexandria.

Cell: 10.7463 10.7463 10.7463 Å, 158.67 158.67 30.34°
With the nearest neighbours (Å) after each atom.
Positions (direct):
Ba: 0.1190 0.1190 0.0000  4 Ag 3.37, 4 Li 3.74
Ba: 0.8810 0.8810 0.0000  4 Ag 3.37, 4 Li 3.74
Li: 0.5000 0.5000 0.0000  8 Ba 3.74, 4 Li 3.98
Ag: 0.2500 0.7500 0.5000  4 Ag 2.81
Ag: 0.7500 0.2500 0.5000  4 Ag 2.81

Calculated values
**Excess energy over the best structure of this formula in the dataset**: 222.4 meV per atom
**SG**: No. 139



(2)
The following is a meta-GGA SCAN calculation of a crystal of Ba2MgAg relaxed with PBEsol, from Alexandria.

Cell: 4.9096 6.8079 6.8079 Å, 42.14 90.00 90.00°
With the nearest neighbours (Å) after each atom.
Positions (direct):
Ba: 0.0000 0.0000 0.0000  3 Ag 3.53-3.80, 4 Mg 3.63
Ba: 0.5000 0.2876 0.2876  3 Mg 3.54-3.79, 4 Ag 3.64
Mg: 0.5000 0.5859 0.5859  2 Ag 2.86
Ag: 0.0000 0.7007 0.7007  2 Mg 2.86

Calculated values
**SG**: No. 38



(3)
The following is a meta-GGA SCAN calculation of a crystal of Ba2MgAg relaxed with PBEsol, from Alexandria.

Cell: 6.8902 6.8902 6.8902 Å, 145.76 129.83 62.14°
With the nearest neighbours (Å) after each atom.
Positions (direct):
Ba: 0.0000 0.0000 0.0000  4 Ag 3.61, 2 Ba 3.70, 4 Mg 3.83-3.98
Ba: 0.6924 0.1924 0.5000  2 Ag 3.51, 2 Ba 3.70, 4 Mg 3.74
Mg: 0.2898 0.7898 0.5000  2 Ag 2.77
Ag: 0.4493 0.4493 0.0000  2 Mg 2.77

Calculated values
**SG**: No. 44



(4)
The following is a meta-GGA SCAN calculation of a crystal of BaMg2Ag relaxed with PBEsol, from Alexandria.

Cell: 6.4669 6.4669 6.4669 Å, 44.41 44.41 44.41°
With the nearest neighbours (Å) after each atom.
Positions (direct):
Ba: 0.0000 0.0000 0.0000  4 Ag 3.35-3.75, 4 Mg 3.46-3.68
Mg: 0.1981 0.1981 0.1981  3 Mg 2.98, 3 Ag 2.99
Mg: 0.4759 0.4759 0.4759  3 Ag 2.82, 3 Mg 2.98
Ag: 0.8080 0.8080 0.8080  6 Mg 2.82-2.99

Calculated values
**SG**: No. 160



no.,ΔH_f (0 K) (eV/atom),N(E_F) (states/eV per atom)
1,0.0165,0.665
2,-0.1472,0.718
3,-0.1124,0.810
4,-0.1659,0.641